Model i:
The following is a PBE calculation of AcIn2Hg6 after structural relaxation, from the Alexandria database.

extended XYZ file:
```
9
Lattice="3.168 -8.171 0.000 3.168 8.171 0.000 -2.056 0.000 4.791" Properties=species:S:1:pos:R:3 pbc="T T T"
Ac 0.000 0.000 0.000
In 2.140 5.544 2.396
In 2.140 -5.544 2.396
Hg 1.761 2.803 0.848
Hg 0.930 0.000 3.285
Hg 2.519 2.803 3.943
Hg 1.761 -2.803 0.848
Hg 3.349 0.000 1.506
Hg 2.519 -2.803 3.943
```

Values from the calculation:
Symmetry: C2/m (12)
Crystal system: monoclinic

---

Model ii:
The following is a PBE calculation of AcIn2Hg6 after structural relaxation, from the Alexandria database.

extended XYZ file:
```
9
Lattice="6.408 0.000 0.000 -3.204 5.550 0.000 0.000 0.000 7.928" Properties=species:S:1:pos:R:3 pbc="T T T"
Ac 0.000 0.000 0.000
In 0.000 3.700 3.964
In 3.204 1.850 3.964
Hg -1.602 2.775 1.506
Hg -1.602 2.775 6.422
Hg 3.204 0.000 1.506
Hg 3.204 0.000 6.422
Hg 1.602 2.775 1.506
Hg 1.602 2.775 6.422
```

Values from the calculation:
Symmetry: P6/mmm (191)
Crystal system: hexagonal

---

Computed relative energies in units of eV/atom: model i 0.000; model ii 0.113

---

Model i:
The following is a PBE calculation of Ac2InHg2 after structural relaxation, from the Alexandria database.

extended XYZ file:
```
10
Lattice="5.825 -3.192 0.000 5.825 3.192 0.000 -2.171 0.000 8.496" Properties=species:S:1:pos:R:3 pbc="T T T"
Ac 1.380 0.805 1.234
Ac 0.294 -0.805 5.482
Ac 9.185 0.805 3.014
Ac 8.100 -0.805 7.262
In 5.282 1.142 2.124
In 4.197 -1.142 6.372
Hg 3.171 0.838 4.334
Hg 4.257 -0.838 0.087
Hg 5.223 0.838 8.409
Hg 6.308 -0.838 4.161
```

Values from the calculation:
Symmetry: C2/c (15)
Crystal system: monoclinic

---

Model ii:
The following is a PBE calculation of Ac2InHg2 after structural relaxation, from the Alexandria database.

extended XYZ file:
```
10
Lattice="6.055 -2.468 0.000 6.055 2.468 0.000 -5.590 0.000 10.694" Properties=species:S:1:pos:R:3 pbc="T T T"
Ac -1.753 0.000 3.609
Ac 1.669 0.000 1.127
Ac 4.852 0.000 9.567
Ac 8.275 0.000 7.086
In -0.278 0.000 7.073
In 6.800 0.000 3.621
Hg 1.856 0.000 4.720
Hg 5.019 0.000 1.199
Hg 1.503 0.000 9.495
Hg 4.665 0.000 5.974
```

Values from the calculation:
Symmetry: C2/m (12)
Crystal system: monoclinic

---

Computed relative energies in units of eV/atom: model i 0.008; model ii 0.000

---

Model i:
The following is a PBE calculation of Ac8InHg2 after structural relaxation, from the Alexandria database.

extended XYZ file:
```
11
Lattice="8.914 -2.969 0.000 8.914 2.969 0.000 -4.674 0.000 8.108" Properties=species:S:1:pos:R:3 pbc="T T T"
Ac 0.190 0.000 1.812
Ac -0.794 0.000 5.657
Ac 3.159 0.000 4.346
Ac 6.942 0.000 0.384
Ac 6.212 0.000 7.724
Ac 9.995 0.000 3.762
Ac 13.948 0.000 2.451
Ac 12.964 0.000 6.296
In 6.577 0.000 4.054
Hg 3.449 0.000 0.945
Hg 9.706 0.000 7.163
```

Values from the calculation:
Symmetry: C2/m (12)
Crystal system: monoclinic

---

Model ii:
The following is a PBE calculation of Ac8InHg2 after structural relaxation, from the Alexandria database.

extended XYZ file:
```
11
Lattice="10.100 -2.841 0.000 10.100 2.841 0.000 -2.558 0.000 7.529" Properties=species:S:1:pos:R:3 pbc="T T T"
Ac -0.190 0.000 2.038
Ac 1.867 0.000 6.164
Ac 5.322 0.000 3.934
Ac 8.179 0.000 0.275
Ac 9.462 0.000 7.255
Ac 12.319 0.000 3.595
Ac 15.774 0.000 1.365
Ac 17.831 0.000 5.492
In 8.821 0.000 3.765
Hg 3.077 0.000 1.585
Hg 14.564 0.000 5.944
```

Values from the calculation:
Symmetry: C2/m (12)
Crystal system: monoclinic

---

Computed relative energies in units of eV/atom: model i 0.000; model ii 0.011

---

Model i:
The following is a PBE calculation of AcInHg after structural relaxation, from the Alexandria database.

extended XYZ file:
```
3
Lattice="5.120 0.000 0.000 -2.560 4.434 0.000 0.000 0.000 4.002" Properties=species:S:1:pos:R:3 pbc="T T T"
Ac 0.000 0.000 0.000
In 0.000 2.956 2.001
Hg 2.560 1.478 2.001
```

Values from the calculation:
Symmetry: P-6m2 (187)
Crystal system: hexagonal

---

Model ii:
The following is a PBE calculation of AcInHg after structural relaxation, from the Alexandria database.

extended XYZ file:
```
6
Lattice="5.891 -2.545 0.000 5.891 2.545 0.000 -5.461 0.000 6.011" Properties=species:S:1:pos:R:3 pbc="T T T"
Ac -1.178 0.000 1.748
Ac 7.499 0.000 4.263
In -0.862 0.000 5.325
In 7.182 0.000 0.686
Hg 2.395 0.000 1.696
Hg 3.925 0.000 4.315
```

Values from the calculation:
Symmetry: C2/m (12)
Crystal system: monoclinic

---

Computed relative energies in units of eV/atom: model i 0.012; model ii 0.000

---

Model i:
The following is a PBE calculation of AcInHg4 after structural relaxation, from the Alexandria database.

extended XYZ file:
```
12
Lattice="4.991 0.000 0.000 0.000 8.127 0.000 -2.388 0.000 8.154" Properties=species:S:1:pos:R:3 pbc="T T T"
Ac 0.056 2.032 2.890
Ac 2.547 6.095 5.264
In 0.063 6.095 2.466
In 2.541 2.032 5.688
Hg 0.000 0.000 0.000
Hg 0.000 4.063 0.000
Hg 0.048 0.220 5.697
Hg 0.048 3.843 5.697
Hg 0.090 6.095 7.853
Hg 2.513 2.032 0.301
Hg 2.555 4.284 2.457
Hg 2.555 7.907 2.457
```

Values from the calculation:
Symmetry: P2_1/m (11)
Crystal system: monoclinic

---

Model ii:
The following is a PBE calculation of AcInHg4 after structural relaxation, from the Alexandria database.

extended XYZ file:
```
6
Lattice="0.000 4.371 4.371 4.371 0.000 4.371 4.371 4.371 0.000" Properties=species:S:1:pos:R:3 pbc="T T T"
Ac 0.000 0.000 0.000
In 2.185 2.185 2.185
Hg 5.463 3.279 3.279
Hg 3.279 5.463 3.279
Hg 3.279 3.279 5.463
Hg 5.463 5.463 5.463
```

Values from the calculation:
Symmetry: F-43m (216)
Crystal system: cubic

---

Computed relative energies in units of eV/atom: model i 0.000; model ii 0.090

---

Model i:
The following is a PBE calculation of AcInHg3 after structural relaxation, from the Alexandria database.

extended XYZ file:
```
10
Lattice="2.605 -10.358 0.000 2.605 10.358 0.000 0.000 0.000 5.189" Properties=species:S:1:pos:R:3 pbc="T T T"
Ac 2.605 7.328 3.891
Ac 2.605 -7.328 1.297
In 2.605 3.193 3.891
In 2.605 -3.193 1.297
Hg 2.605 9.472 1.297
Hg 2.605 5.155 1.297
Hg 2.605 0.906 1.297
Hg 2.605 -0.906 3.891
Hg 2.605 -5.155 3.891
Hg 2.605 -9.472 3.891
```

Values from the calculation:
Symmetry: Cmcm (63)
Crystal system: orthorhombic

---

Model ii:
The following is a PBE calculation of AcInHg3 after structural relaxation, from the Alexandria database.

extended XYZ file:
```
20
Lattice="9.271 0.000 0.000 0.000 5.118 0.000 0.000 0.000 11.963" Properties=species:S:1:pos:R:3 pbc="T T T"
Ac 2.078 1.279 0.085
Ac 2.558 3.838 6.066
Ac 6.713 1.279 5.897
Ac 7.193 3.838 11.878
In 0.814 1.279 4.225
In 3.822 3.838 10.207
In 5.450 1.279 1.756
In 8.457 3.838 7.738
Hg 0.730 1.279 7.407
Hg 0.912 3.838 10.118
Hg 0.953 3.838 2.002
Hg 3.683 1.279 7.984
Hg 3.724 1.279 4.136
Hg 3.905 3.838 1.425
Hg 5.366 1.279 10.538
Hg 5.547 3.838 7.827
Hg 5.588 3.838 3.979
Hg 8.319 1.279 9.961
Hg 8.360 1.279 1.845
Hg 8.541 3.838 4.556
```

Values from the calculation:
Symmetry: Pnma (62)
Crystal system: orthorhombic

---

Computed relative energies in units of eV/atom: model i 0.000; model ii 0.021

---

Model i:
The following is a PBE calculation of AcIn2Hg4 after structural relaxation, from the Alexandria database.

extended XYZ file:
```
7
Lattice="2.584 1.492 8.595 -2.584 1.492 8.595 0.000 -2.984 8.595" Properties=species:S:1:pos:R:3 pbc="T T T"
Ac 0.000 0.000 0.000
In 0.000 0.000 6.485
In 0.000 0.000 19.299
Hg 0.000 0.000 3.542
Hg 0.000 0.000 10.207
Hg 0.000 0.000 15.577
Hg 0.000 0.000 22.242
```

Values from the calculation:
Symmetry: R-3m (166)
Crystal system: trigonal

---

Model ii:
The following is a PBE calculation of AcIn2Hg4 after structural relaxation, from the Alexandria database.

extended XYZ file:
```
7
Lattice="5.340 -3.646 0.000 5.340 3.646 0.000 -3.035 0.000 4.940" Properties=species:S:1:pos:R:3 pbc="T T T"
Ac 0.000 0.000 0.000
In 4.036 0.000 0.625
In 3.610 0.000 4.315
Hg 2.427 2.109 1.813
Hg 5.219 2.109 3.127
Hg 2.427 -2.109 1.813
Hg 5.219 -2.109 3.127
```

Values from the calculation:
Symmetry: C2/m (12)
Crystal system: monoclinic

---

Computed relative energies in units of eV/atom: model i 0.000; model ii 0.039

---

Model i:
The following is a PBE calculation of Ac3InHg3 after structural relaxation, from the Alexandria database.

extended XYZ file:
```
14
Lattice="6.052 -2.423 0.000 6.052 2.423 0.000 -5.537 0.000 15.620" Properties=species:S:1:pos:R:3 pbc="T T T"
Ac -1.765 0.000 6.037
Ac -3.885 0.000 14.406
Ac 1.666 0.000 3.546
Ac 4.901 0.000 12.074
Ac 10.453 0.000 1.213
Ac 8.332 0.000 9.583
In -0.227 0.000 9.545
In 6.794 0.000 6.075
Hg 1.868 0.000 7.197
Hg -0.522 0.000 14.435
Hg 1.536 0.000 12.017
Hg 5.031 0.000 3.602
Hg 7.089 0.000 1.185
Hg 4.700 0.000 8.423
```

Values from the calculation:
Symmetry: C2/m (12)
Crystal system: monoclinic

---

Model ii:
The following is a PBE calculation of Ac3InHg3 after structural relaxation, from the Alexandria database.

extended XYZ file:
```
14
Lattice="10.015 0.000 0.000 -5.007 8.673 0.000 0.000 0.000 5.368" Properties=species:S:1:pos:R:3 pbc="T T T"
Ac -2.335 5.745 1.342
Ac 1.199 3.778 1.342
Ac 3.872 0.850 4.026
Ac 1.136 7.823 1.342
Ac 3.808 4.895 4.026
Ac 7.342 2.928 4.026
In 0.000 5.782 4.026
In 5.007 2.891 1.342
Hg -3.708 7.117 4.026
Hg 0.697 1.903 4.026
Hg 1.997 0.348 1.342
Hg 3.010 8.325 4.026
Hg 4.310 6.770 1.342
Hg 8.715 1.556 1.342
```

Values from the calculation:
Symmetry: P6_3/m (176)
Crystal system: hexagonal

---

Computed relative energies in units of eV/atom: model i 0.000; model ii 0.093